--- w ---
First-principles (PBE-GGA) data for a relaxed structure of LiNdCd3, as listed in Alexandria.

Cell: 6.5134 6.3462 6.6501 Å, 90.00 119.30 90.00°
Space group P2_1/m (No. 11)
Inequivalent atoms, fractional coordinates:
1 Li 0.1109 0.2500 0.2205 x2
2 Nd 0.2325 0.7500 0.4657 x2
3 Cd 0.2647 0.9997 0.9993 x4
4 Cd 0.3324 0.2500 0.6637 x2

- DOS(E_F) (states/eV/f.u.) = 4.21
- crystal system = monoclinic

=====

--- x ---
First-principles (PBE-GGA) data for a relaxed structure of LiNdCd3, as listed in Alexandria.

Cell: 6.9048 6.9048 5.6159 Å, 90.00 90.00 120.00°
Space group P6_3/mmc (No. 194)
Inequivalent atoms, fractional coordinates:
1 Li 0.0000 0.0000 0.0000 x2
2 Nd 0.3333 0.6667 0.2500 x2
3 Cd 0.1876 0.3752 0.7500 x6

- DOS(E_F) (states/eV/f.u.) = 2.16
- crystal system = hexagonal

=====

--- y ---
First-principles (PBE-GGA) data for a relaxed structure of LiNdCd3, as listed in Alexandria.

Cell: 4.8887 4.8887 4.8887 Å, 90.00 90.00 90.00°
Space group Pm-3m (No. 221)
Inequivalent atoms, fractional coordinates:
1 Li 0.0000 0.0000 0.0000 x1
2 Nd 0.5000 0.5000 0.5000 x1
3 Cd 0.0000 0.0000 0.5000 x3

- DOS(E_F) (states/eV/f.u.) = 2.85
- crystal system = cubic

=====

It turns out x is the most stable, with the second structure 41 meV/atom higher.

=====

--- w ---
First-principles (PBE-GGA) data for a relaxed structure of LiNd2Cd3, as listed in Alexandria.

Cell: 6.6844 10.2255 17.6985 Å, 90.00 90.00 90.00°
Space group Fmmm (No. 69)
Inequivalent atoms, fractional coordinates:
1 Li 0.0000 0.0000 0.1666 x8
2 Nd 0.2465 0.0000 0.5000 x8
3 Nd 0.2500 0.2500 0.2500 x8
4 Cd 0.0000 0.0000 0.3303 x8
5 Cd 0.0000 0.2451 0.0847 x16

- DOS(E_F) (states/eV/f.u.) = 4.36
- crystal system = orthorhombic

=====

--- x ---
First-principles (PBE-GGA) data for a relaxed structure of LiNd2Cd3, as listed in Alexandria.

Cell: 3.3969 5.0847 8.8348 Å, 90.00 90.00 90.00°
Space group Pmm2 (No. 25)
Inequivalent atoms, fractional coordinates:
1 Li 0.0000 0.0000 0.0000 x1
2 Nd 0.5000 0.0000 0.6646 x1
3 Nd 0.5000 0.5000 0.1718 x1
4 Cd 0.0000 0.0000 0.3256 x1
5 Cd 0.0000 0.5000 0.5044 x1
6 Cd 0.0000 0.5000 0.8444 x1

- DOS(E_F) (states/eV/f.u.) = 4.31
- crystal system = orthorhombic

=====

It turns out w is the most stable, with the second structure 6 meV/atom higher.

=====

--- w ---
First-principles (PBE-GGA) data for a relaxed structure of LiNd2Cd6, as listed in Alexandria.

Cell: 12.1253 6.6718 5.4074 Å, 90.00 96.46 90.00°
Space group C2/m (No. 12)
Inequivalent atoms, fractional coordinates:
1 Li 0.0000 0.0000 0.0000 x2
2 Nd 0.1483 0.5000 0.2036 x4
3 Cd 0.0992 0.2362 0.6928 x8
4 Cd 0.1941 0.0000 0.2604 x4

- DOS(E_F) (states/eV/f.u.) = 4.75
- crystal system = monoclinic

=====

--- x ---
First-principles (PBE-GGA) data for a relaxed structure of LiNd2Cd6, as listed in Alexandria.

Cell: 8.7750 8.7750 3.3524 Å, 90.00 90.00 120.00°
Space group P6/mmm (No. 191)
Inequivalent atoms, fractional coordinates:
1 Li 0.0000 0.0000 0.0000 x1
2 Nd 0.3333 0.6667 0.0000 x2
3 Cd 0.0000 0.3261 0.5000 x6

- DOS(E_F) (states/eV/f.u.) = 5.85
- crystal system = hexagonal

=====

It turns out x is the most stable, with the second structure 7 meV/atom higher.

=====

--- w ---
First-principles (PBE-GGA) data for a relaxed structure of LiNd2Cd2, as listed in Alexandria.

Cell: 6.3288 14.6131 5.6034 Å, 90.00 90.00 90.00°
Space group Ibam (No. 72)
Inequivalent atoms, fractional coordinates:
1 Li 0.0000 0.0000 0.2500 x4
2 Nd 0.1853 0.1794 0.0000 x8
3 Cd 0.1589 0.4209 0.0000 x8

- DOS(E_F) (states/eV/f.u.) = 4.61
- crystal system = orthorhombic

=====

--- x ---
First-principles (PBE-GGA) data for a relaxed structure of LiNd2Cd2, as listed in Alexandria.

Cell: 15.2780 6.4424 5.6301 Å, 90.00 100.51 90.00°
Space group C2/c (No. 15)
Inequivalent atoms, fractional coordinates:
1 Li 0.0000 0.1848 0.2500 x4
2 Nd 0.1258 0.3588 0.8296 x8
3 Cd 0.1811 0.1203 0.3602 x8

- DOS(E_F) (states/eV/f.u.) = 3.75
- crystal system = monoclinic

=====

It turns out w is the most stable, with the second structure 11 meV/atom higher.

=====

--- w ---
First-principles (PBE-GGA) data for a relaxed structure of LiCdNi, as listed in Alexandria.

Cell: 4.3018 4.3018 2.7530 Å, 90.00 90.00 120.00°
Space group P3m1 (No. 156)
Inequivalent atoms, fractional coordinates:
1 Li 0.0000 0.0000 0.0000 x1
2 Cd 0.3333 0.6667 0.5722 x1
3 Ni 0.6667 0.3333 0.1218 x1

- DOS(E_F) (states/eV/f.u.) = 1.22
- crystal system = trigonal

=====

--- x ---
First-principles (PBE-GGA) data for a relaxed structure of LiCdNi, as listed in Alexandria.

Cell: 6.0177 6.0177 6.0177 Å, 90.00 90.00 90.00°
Space group F-43m (No. 216)
Inequivalent atoms, fractional coordinates:
1 Li 0.0000 0.0000 0.0000 x4
2 Cd 0.0000 0.0000 0.5000 x4
3 Ni 0.2500 0.2500 0.2500 x4

- DOS(E_F) (states/eV/f.u.) = 1.65
- crystal system = cubic

=====

--- y ---
First-principles (PBE-GGA) data for a relaxed structure of LiCdNi, as listed in Alexandria.

Cell: 7.5938 4.4153 5.4327 Å, 90.00 90.55 90.00°
Space group C2/m (No. 12)
Inequivalent atoms, fractional coordinates:
1 Li 0.1670 0.0000 0.3951 x4
2 Cd 0.1669 0.0000 0.8793 x4
3 Ni 0.9997 0.5000 0.2785 x4

- DOS(E_F) (states/eV/f.u.) = 1.54
- crystal system = monoclinic

=====

It turns out w is the most stable, with the second structure 40 meV/atom higher.

=====

--- w ---
First-principles (PBE-GGA) data for a relaxed structure of LiCdNi, as listed in Alexandria.

Cell: 2.8305 3.8312 8.2562 Å, 90.00 90.00 90.00°
Space group Imm2 (No. 44)
Inequivalent atoms, fractional coordinates:
1 Li 0.0000 0.0000 0.0000 x2
2 Cd 0.0000 0.0000 0.6775 x2
3 Ni 0.0000 0.0000 0.3418 x2

- DOS(E_F) (states/eV/f.u.) = 1.25
- crystal system = orthorhombic

=====

--- x ---
First-principles (PBE-GGA) data for a relaxed structure of LiCdNi, as listed in Alexandria.

Cell: 3.1568 3.1568 8.8682 Å, 90.00 90.00 90.00°
Space group I4mm (No. 107)
Inequivalent atoms, fractional coordinates:
1 Li 0.0000 0.0000 0.0000 x2
2 Cd 0.0000 0.0000 0.6852 x2
3 Ni 0.0000 0.0000 0.3594 x2

- DOS(E_F) (states/eV/f.u.) = 1.82
- crystal system = tetragonal

=====

It turns out w is the most stable, with the second structure 26 meV/atom higher.